10
Lattice="-2.5385 -5.0482 -0.6822 1.6209 -5.2233 -1.5761 2.1470 2.4730 9.5052" Properties=species:S:1:pos:R:3 comment="SmLuSi2Pd | OQMD via LeMat-Bulk | PBE | relaxed" crystal_system=monoclinic final_energy_ev_per_atom=-5.952 total_magnetization_mub_per_cell=0.8 sg="No. 12" pbc="T T T"
Lu 0.6985 0.7623 3.1008
Lu 0.5308 -8.5608 4.1460
Pd 0.1258 -6.5698 1.8718
Pd 1.1036 -1.2287 5.3751
Si -0.1872 -4.6930 0.0479
Si 0.5908 -2.7313 3.2835
Si 0.6386 -5.0671 3.9634
Si 1.4166 -3.1055 7.1990
Sm 0.0558 -1.6575 0.5843
Sm 1.1736 -6.1410 6.6625



4
Lattice="0.0000 3.1856 3.1856 3.1856 0.0000 3.1856 3.1856 3.1856 0.0000" Properties=species:S:1:pos:R:3 comment="ScCoGeAu | OQMD via LeMat-Bulk | PBE | relaxed" crystal_system=cubic final_energy_ev_per_atom=-5.624 total_magnetization_mub_per_cell=0.7 sg="No. 216" pbc="T T T"
Au 3.1856 3.1856 3.1856
Co 4.7785 4.7785 4.7785
Ge 0.0000 0.0000 0.0000
Sc 1.5928 1.5928 1.5928